Tl3Ni3OsO8: relaxed, PBE+U.

POSCAR file:
```
Tl3Ni3OsO8
1.0
6.274 0.000 0.000
-3.137 5.434 0.017
0.000 -3.629 6.304
O Tl Ni Os
8 3 3 1
direct
0.205 0.965 0.670
0.240 0.035 0.330
0.205 0.409 0.669
0.760 0.965 0.670
0.713 0.427 0.641
0.287 0.573 0.359
0.795 0.591 0.331
0.795 0.035 0.330
0.500 0.500 0.000
0.000 0.000 0.000
0.000 0.500 0.000
0.000 0.500 0.500
0.500 0.500 0.500
0.500 0.000 0.500
0.000 0.000 0.500
```

Results
* space-group type: No. 12
* total energy: -5.206 eV per atom